Record 1
## Hf3InH (PBE-GGA)

Data for Hf3InH after structural relaxation. Values from VASP.

```
&SYSTEM
  ibrav = 0, nat = 10, ntyp = 3
/
ATOMIC_SPECIES
Hf 178.49 Hf.upf
In 114.82 In.upf
H 1.01 H.upf
ATOMIC_POSITIONS crystal
Hf 0.413 0.235 0.844
Hf 0.913 0.235 0.093
Hf 0.413 0.235 0.350
Hf 0.413 0.735 0.093
Hf 0.913 0.735 0.844
Hf 0.913 0.735 0.350
In 0.913 0.235 0.605
In 0.413 0.735 0.605
H 0.663 0.485 0.263
H 0.163 0.985 0.263
CELL_PARAMETERS angstrom
5.164 0.015 0.000
0.872 5.090 0.000
0.000 0.000 6.869
```

## Properties
Space-group type: Pmm2, No. 25
Theoretical density in g/cm3: 11.98

Record 2
## Hf3InH (PBE-GGA)

Data for Hf3InH after structural relaxation. Values from VASP.

```
&SYSTEM
  ibrav = 0, nat = 5, ntyp = 3
/
ATOMIC_SPECIES
Hf 178.49 Hf.upf
H 1.01 H.upf
In 114.82 In.upf
ATOMIC_POSITIONS crystal
Hf 0.000 0.162 0.838
Hf 0.500 0.639 0.847
Hf 0.500 0.153 0.361
H 0.500 0.025 0.975
In 0.000 0.649 0.351
CELL_PARAMETERS angstrom
-0.536 1.824 2.503
-4.036 -3.523 1.704
5.028 -1.394 2.093
```

## Properties
Space-group type: Amm2, No. 38
Theoretical density in g/cm3: 11.74

Record 3
## Hf3InH (PBE-GGA)

Data for Hf3InH after structural relaxation. Values from VASP.

```
&SYSTEM
  ibrav = 0, nat = 10, ntyp = 3
/
ATOMIC_SPECIES
Hf 178.49 Hf.upf
H 1.01 H.upf
In 114.82 In.upf
ATOMIC_POSITIONS crystal
Hf 0.004 0.496 0.250
Hf 0.250 0.004 0.496
Hf 0.504 0.750 0.996
Hf 0.750 0.996 0.504
Hf 0.496 0.250 0.004
Hf 0.996 0.504 0.750
H 0.250 0.250 0.250
H 0.750 0.750 0.750
In 0.000 0.000 0.000
In 0.500 0.500 0.500
CELL_PARAMETERS angstrom
4.555 0.000 3.356
-2.277 3.945 3.356
-2.277 -3.945 3.356
```

## Properties
Space-group type: R-3c, No. 167
Theoretical density in g/cm3: 11.96

Record 4
## Hf3InH (PBE-GGA)

Data for Hf3InH after structural relaxation. Values from VASP.

```
&SYSTEM
  ibrav = 0, nat = 20, ntyp = 3
/
ATOMIC_SPECIES
In 114.82 In.upf
H 1.01 H.upf
Hf 178.49 Hf.upf
ATOMIC_POSITIONS crystal
In 0.402 0.751 0.434
In 0.098 0.251 0.066
In 0.902 0.749 0.934
In 0.598 0.249 0.566
H 0.570 0.249 0.903
H 0.070 0.251 0.403
H 0.430 0.751 0.097
H 0.930 0.749 0.597
Hf 0.531 0.750 0.070
Hf 0.469 0.250 0.930
Hf 0.750 0.499 0.249
Hf 0.347 0.251 0.306
Hf 0.750 0.999 0.251
Hf 0.847 0.249 0.806
Hf 0.250 0.001 0.749
Hf 0.250 0.501 0.751
Hf 0.653 0.749 0.694
Hf 0.969 0.250 0.430
Hf 0.031 0.750 0.570
Hf 0.153 0.751 0.194
CELL_PARAMETERS angstrom
18.252 0.000 -2.347
0.000 5.976 0.000
-6.603 0.000 4.221
```

## Properties
Space-group type: P2_1/c, No. 14
Theoretical density in g/cm3: 11.76

Values for E, eV per cell, ordered as above
-74.0; -36.7; -73.4; -145.9